[1]
## AcDy2S (PBE)

Data for AcDy2S after structural relaxation.

Lattice parameters (Å, degrees): 10.670 10.670 10.670 20.23 20.23 20.23
Fractional coordinates of all 4 atoms:
Ac 0.000 0.000 0.000
Dy 0.115 0.115 0.115
Dy 0.885 0.885 0.885
S 0.500 0.500 0.500

Calculated values
ΔE_f (raw) ... -0.7843 eV per atom
E ... -20.6 eV per cell
SG ... R-3m (166)

[2]
## Ac3DyS6 (PBE)

Data for Ac3DyS6 after structural relaxation.

Lattice parameters (Å, degrees): 7.150 7.678 12.579 90.00 123.17 90.00
Fractional coordinates of all 20 atoms:
Ac 0.000 0.000 0.000
Ac 0.000 0.500 0.500
Ac 0.286 0.082 0.752
Ac 0.286 0.418 0.252
Ac 0.714 0.582 0.748
Ac 0.714 0.918 0.248
Dy 0.500 0.000 0.500
Dy 0.500 0.500 0.000
S 0.115 0.063 0.262
S 0.115 0.437 0.762
S 0.275 0.685 0.077
S 0.275 0.815 0.577
S 0.402 0.199 0.077
S 0.402 0.301 0.577
S 0.598 0.699 0.423
S 0.598 0.801 0.923
S 0.725 0.185 0.423
S 0.725 0.315 0.923
S 0.885 0.563 0.238
S 0.885 0.937 0.738

Calculated values
ΔE_f (raw) ... -2.1155 eV per atom
Excess energy over the best structure of this formula in the dataset ... 0.37 eV/f.u.
E ... -125.7 eV per cell
SG ... P2_1/c (14)

[3]
## Ac4DyS7 (PBE)

Data for Ac4DyS7 after structural relaxation.

Lattice parameters (Å, degrees): 7.277 7.277 12.170 105.01 105.01 33.06
Fractional coordinates of all 12 atoms:
Ac 0.000 0.000 0.000
Ac 0.198 0.198 0.769
Ac 0.592 0.592 0.374
Ac 0.892 0.892 0.562
Dy 0.777 0.777 0.144
S 0.167 0.167 0.216
S 0.232 0.232 0.520
S 0.371 0.371 0.063
S 0.553 0.553 0.619
S 0.633 0.633 0.933
S 0.851 0.851 0.783
S 0.931 0.931 0.336

Calculated values
ΔE_f (raw) ... -2.1229 eV per atom
E ... -75.4 eV per cell
SG ... Cm (8)